DFT (PBE-GGA) results for a geometry-optimized KV2RuPt structure.

* space group: No. 123
* formation energy from the elements: 79 kJ per mole of atoms

Lattice parameters (Å, degrees): 4.6443 5.1391 4.6443 90.00 90.00 90.00
Closest atoms and distances in Å follow each position.
Positions (direct):
Ru (0.0000, 0.0000, 0.0000)  4 V 2.32, 2 Pt 2.57
K (0.5000, 0.5000, 0.5000)  4 Pt 3.28, 8 V 3.46
Pt (0.0000, 0.5000, 0.0000)  2 Ru 2.57
V (0.0000, 0.0000, 0.5000)  2 Ru 2.32
V (0.5000, 0.0000, 0.0000)  2 Ru 2.32